[1]
DFT (GGA-PBE) results for a geometry-optimized ZnCuAs2 structure.

Results
As for the symmetry: Pm (6). For the formation energy, the calculation gives 0.088 eV per atom. As for the total moment: 0.00 μB per cell. The crystal system is monoclinic.

a = 2.7677 Å, b = 4.0198 Å, c = 6.6974 Å
α = 90.00°, β = 101.48°, γ = 90.00°
Fractional positions:
1 Zn 0.0000 0.0000 0.0000
2 Cu 0.5730 0.5000 0.1435
3 As 0.6801 0.0000 0.3687
4 As 0.8703 0.5000 0.7658



[2]
DFT (GGA-PBE) results for a geometry-optimized ZnCu2As structure.

Results
As for the symmetry: P4/mmm (123). For the formation energy, the calculation gives 0.102 eV per atom. As for the total moment: 0.00 μB per cell. The crystal system is tetragonal.

a = 2.7489 Å, b = 2.7489 Å, c = 7.6305 Å
α = 90.00°, β = 90.00°, γ = 90.00°
Fractional positions:
1 Zn 0.0000 0.0000 0.0000
2 Cu 0.5000 0.5000 0.2302
3 Cu 0.5000 0.5000 0.7698
4 As 0.0000 0.0000 0.5000



[3]
DFT (GGA-PBE) results for a geometry-optimized ZnCuAs3 structure.

Results
As for the symmetry: Pm-3m (221). For the formation energy, the calculation gives 0.943 eV per atom. As for the total moment: 0.00 μB per cell. The crystal system is cubic.

a = 4.8151 Å, b = 4.8151 Å, c = 4.8151 Å
α = 90.00°, β = 90.00°, γ = 90.00°
Fractional positions:
1 Zn 0.0000 0.0000 0.0000
2 Cu 0.5000 0.5000 0.5000
3 As 0.0000 0.0000 0.5000
4 As 0.0000 0.5000 0.0000
5 As 0.5000 0.0000 0.0000



[4]
DFT (GGA-PBE) results for a geometry-optimized ZnCuAs structure.

Results
As for the symmetry: C2/m (12). For the formation energy, the calculation gives -0.024 eV per atom. As for the total moment: 0.00 μB per cell. The crystal system is monoclinic.

a = 4.0750 Å, b = 4.0750 Å, c = 7.3579 Å
α = 90.03°, β = 90.03°, γ = 59.97°
Fractional positions:
1 Zn 0.1659 0.1659 0.3932
2 Zn 0.8341 0.8341 0.6068
3 Cu 0.1674 0.1674 0.7416
4 Cu 0.8326 0.8326 0.2584
5 As 0.4997 0.4997 0.1701
6 As 0.5003 0.5003 0.8299